Entry from Alexandria: crystalline TiVRuO6 at its relaxed geometry (PBE+U).

Properties
The calculation puts the density of states at the Fermi level at 0.353 states/eV/atom. The total DFT energy (no corrections) comes out at -7.9097 eV/atom.

abc: 4.9736 4.9736 8.7010
angles: 90.00 90.00 120.00
Space group P-31c (No. 163)
Asymmetric unit:
Ti1 0.3333 0.6667 0.2500
V1 0.3333 0.6667 0.7500
Ru1 0.0000 0.0000 0.0000
O1 0.0062 0.3393 0.6292